# 1
Ce2TiPN5 | the Alexandria database | GGA-PBE | optimized geometry; space group = Cmc2_1, No. 36; raw formation energy = -1150 meV per atom; theoretical density = 6.4 g/cm³; calculated total energy = -8.572 eV/atom; total moment = 1.18 μB/f.u.
1.0
-1.736 2.628 0.104
-4.576 -5.002 2.247
2.992 1.595 9.643
N Ce P Ti
10 4 2 2
Direct
0.707 0.414 0.164 N
0.330 0.661 0.389 N
0.340 0.681 0.007 N
0.964 0.929 0.513 N
0.036 0.071 0.013 N
0.660 0.319 0.507 N
0.505 0.011 0.292 N
0.670 0.339 0.889 N
0.293 0.586 0.664 N
0.495 0.989 0.792 N
0.117 0.234 0.678 Ce
0.859 0.718 0.822 Ce
0.141 0.282 0.322 Ce
0.883 0.766 0.178 Ce
0.446 0.893 0.429 P
0.554 0.107 0.929 P
0.207 0.413 0.031 Ti
0.793 0.587 0.531 Ti

# 2
CeTiP2N6 | the Alexandria database | GGA-PBE | optimized geometry; space group = C2/c, No. 15; raw formation energy = -768 meV per atom; theoretical density = 4.8 g/cm³; calculated total energy = -8.228 eV/atom; total moment = 0.11 μB/f.u.
1.0
5.068 -0.329 -0.341
1.241 6.675 -0.189
1.241 -0.437 6.663
Ti N P Ce
2 12 4 2
Direct
0.750 0.711 0.289 Ti
0.250 0.289 0.711 Ti
0.111 0.590 0.199 N
0.315 0.241 0.009 N
0.611 0.199 0.590 N
0.889 0.410 0.801 N
0.105 0.265 0.396 N
0.605 0.396 0.265 N
0.895 0.735 0.604 N
0.389 0.801 0.410 N
0.815 0.009 0.241 N
0.685 0.759 0.991 N
0.185 0.991 0.759 N
0.395 0.604 0.735 N
0.282 0.379 0.219 P
0.718 0.621 0.781 P
0.782 0.219 0.379 P
0.218 0.781 0.621 P
0.250 0.890 0.110 Ce
0.750 0.110 0.890 Ce

# 3
CeU2PN5 | the Alexandria database | GGA-PBE | optimized geometry; space group = P4/mbm, No. 127; raw formation energy = -985 meV per atom; theoretical density = 10.5 g/cm³; calculated total energy = -9.379 eV/atom; total moment = 2.70 μB/f.u.
1.0
5.465 0.000 0.000
0.000 6.449 0.000
0.000 0.000 6.449
N Ce U P
10 2 4 2
Direct
0.766 0.859 0.359 N
0.234 0.641 0.859 N
0.234 0.359 0.141 N
0.500 0.000 0.000 N
0.234 0.141 0.641 N
0.766 0.641 0.859 N
0.234 0.859 0.359 N
0.766 0.141 0.641 N
0.500 0.500 0.500 N
0.766 0.359 0.141 N
0.000 0.500 0.500 Ce
0.000 0.000 0.000 Ce
0.500 0.327 0.827 U
0.500 0.173 0.327 U
0.500 0.827 0.673 U
0.500 0.673 0.173 U
0.000 0.500 0.000 P
0.000 0.000 0.500 P

# 4
CeUPN2 | the Alexandria database | GGA-PBE | optimized geometry; space group = I4mm, No. 107; raw formation energy = -1328 meV per atom; theoretical density = 8.6 g/cm³; calculated total energy = -9.185 eV/atom; total moment = 1.05 μB/f.u.
1.0
-2.303 -1.663 2.477
1.678 -3.309 -0.661
4.201 3.588 3.447
U N Ce P
1 2 1 1
Direct
0.151 0.151 0.303 U
0.742 0.242 0.484 N
0.242 0.742 0.484 N
0.857 0.857 0.715 Ce
0.508 0.508 0.015 P

# 5
Ce2YP2N6 | the Alexandria database | GGA-PBE | optimized geometry; space group = P-3, No. 147; raw formation energy = -936 meV per atom; theoretical density = 4.8 g/cm³; calculated total energy = -8.127 eV/atom; total moment = 0.00 μB/f.u.
1.0
5.883 0.000 0.000
-2.942 5.095 0.000
0.000 0.000 5.889
N Ce P Y
6 2 2 1
Direct
0.612 0.700 0.195 N
0.388 0.300 0.805 N
0.300 0.912 0.195 N
0.912 0.612 0.805 N
0.088 0.388 0.195 N
0.700 0.088 0.805 N
0.667 0.333 0.171 Ce
0.333 0.667 0.829 Ce
0.667 0.333 0.698 P
0.333 0.667 0.302 P
0.000 0.000 0.000 Y

# 6
CeZnPN | the Alexandria database | GGA-PBE | optimized geometry; space group = R-3m, No. 166; raw formation energy = -1019 meV per atom; theoretical density = 6.0 g/cm³; calculated total energy = -6.255 eV/atom; total moment = 0.00 μB/f.u.
1.0
3.958 0.000 0.000
1.979 3.428 0.000
1.979 1.143 10.271
N Zn P Ce
2 2 2 2
Direct
0.695 0.695 0.915 N
0.305 0.305 0.085 N
0.803 0.803 0.590 Zn
0.197 0.197 0.410 Zn
0.113 0.113 0.660 P
0.887 0.887 0.340 P
0.379 0.379 0.863 Ce
0.621 0.621 0.137 Ce

# 7
CeZn2PN4 | the Alexandria database | GGA-PBE | optimized geometry; space group = Cm, No. 8; raw formation energy = -629 meV per atom; theoretical density = 6.2 g/cm³; calculated total energy = -6.528 eV/atom; total moment = 0.99 μB/f.u.
1.0
-2.805 2.297 -3.754
-3.943 -3.289 0.936
2.050 2.755 3.780
N Zn Ce P
4 2 1 1
Direct
0.819 0.443 0.262 N
0.556 0.556 0.737 N
0.443 0.819 0.262 N
0.181 0.181 0.738 N
0.750 0.250 0.500 Zn
0.250 0.750 0.500 Zn
0.002 0.002 0.001 Ce
0.500 0.500 0.000 P

# 8
CeZrPN | the Alexandria database | GGA-PBE | optimized geometry; space group = R-3m, No. 166; raw formation energy = -1207 meV per atom; theoretical density = 5.9 g/cm³; calculated total energy = -8.261 eV/atom; total moment = 0.44 μB/f.u.
1.0
4.341 0.000 0.000
2.170 3.759 0.000
2.170 1.253 9.475
P N Ce Zr
2 2 2 2
Direct
0.113 0.113 0.661 P
0.887 0.887 0.339 P
0.701 0.701 0.896 N
0.299 0.299 0.104 N
0.377 0.377 0.869 Ce
0.623 0.623 0.131 Ce
0.794 0.794 0.618 Zr
0.206 0.206 0.382 Zr

# 9
Ce3Zr2P2N4 | the Alexandria database | GGA-PBE | optimized geometry; space group = I4/mmm, No. 139; raw formation energy = -1314 meV per atom; theoretical density = 6.2 g/cm³; calculated total energy = -8.498 eV/atom; total moment = 1.98 μB/f.u.
1.0
4.181 0.000 0.000
0.000 4.181 0.000
-2.090 -2.090 11.059
Zr P N Ce
2 2 4 3
Direct
0.414 0.414 0.828 Zr
0.586 0.586 0.172 Zr
0.299 0.299 0.599 P
0.701 0.701 0.401 P
0.567 0.067 0.134 N
0.433 0.933 0.866 N
0.933 0.433 0.866 N
0.067 0.567 0.134 N
0.830 0.830 0.660 Ce
0.170 0.170 0.340 Ce
0.000 0.000 0.000 Ce

# 10
CePa2N | the Alexandria database | GGA-PBE | optimized geometry; space group = P4/mmm, No. 123; raw formation energy = -192 meV per atom; theoretical density = 13.1 g/cm³; calculated total energy = -8.504 eV/atom; ΔE to the lowest computed polymorph = 0.000 eV per atom; total moment = 0.00 μB/f.u.
1.0
-0.905 -2.512 -1.379
2.172 -1.544 1.388
-5.364 -1.663 6.548
Ce Pa N
1 2 1
Direct
0.500 0.500 0.500 Ce
0.000 0.000 0.826 Pa
0.000 0.000 0.174 Pa
0.500 0.500 0.000 N

# 11
Ce5PaN6 | the Alexandria database | GGA-PBE | optimized geometry; space group = C2/m, No. 12; raw formation energy = -1552 meV per atom; theoretical density = 8.8 g/cm³; calculated total energy = -8.979 eV/atom; total moment = 0.00 μB/f.u.
1.0
6.090 0.148 0.925
1.496 5.167 3.012
0.103 0.056 6.161
Ce N Pa
5 6 1
Direct
0.500 0.168 0.663 Ce
0.000 0.666 0.667 Ce
0.500 0.500 0.000 Ce
0.500 0.832 0.337 Ce
0.000 0.334 0.333 Ce
0.242 0.237 0.000 N
0.239 0.921 0.682 N
0.761 0.079 0.318 N
0.761 0.397 0.682 N
0.239 0.603 0.318 N
0.758 0.763 0.000 N
0.000 0.000 0.000 Pa

# 12
Ce2PaN3 | the Alexandria database | GGA-PBE | optimized geometry; space group = C2/m, No. 12; raw formation energy = -1214 meV per atom; theoretical density = 9.6 g/cm³; calculated total energy = -8.937 eV/atom; ΔE to the lowest computed polymorph = 0.370 eV per atom; total moment = 0.60 μB/f.u.
1.0
-0.158 2.867 1.979
-6.012 -0.077 -3.441
-0.913 -4.900 7.025
N Pa Ce
6 2 4
Direct
0.378 0.756 0.484 N
0.622 0.244 0.516 N
0.977 0.954 0.192 N
0.023 0.046 0.808 N
0.319 0.637 0.873 N
0.681 0.363 0.127 N
0.000 0.000 0.500 Pa
0.500 0.000 0.000 Pa
0.329 0.658 0.165 Ce
0.829 0.658 0.661 Ce
0.671 0.342 0.835 Ce
0.171 0.342 0.339 Ce